Density functional theory data (GGA-PBE) for crystalline La8Ni3SeI4 at its relaxed geometry.

Crystal system: monoclinic
Magnetic moment in μB per cell: 0.00
E in eV for the cell shown: -81.0
Formation energy without anion corrections in eV/f.u.: -14.5
SG: C2/m (12)

Geometry as POSCAR:
```
La8Ni3SeI4
1.0
7.393 -4.263 0.000
7.393 4.263 0.000
-4.929 0.000 8.019
La Ni Se I
8 3 1 4
Cartesian
3.654 2.212 5.593 La
0.004 0.000 5.473 La
2.372 0.000 2.428 La
6.205 2.212 2.426 La
3.654 -2.212 5.593 La
7.486 0.000 5.591 La
9.854 0.000 2.546 La
6.205 -2.212 2.426 La
-2.464 0.000 4.009 Ni
1.232 2.132 4.009 Ni
1.232 -2.132 4.009 Ni
4.929 0.000 4.009 Se
0.000 0.000 0.000 I
3.697 2.132 0.000 I
3.697 -2.132 0.000 I
7.393 0.000 0.000 I
```